Entry from Alexandria via LeMat-Bulk: Li5Pm3Cl12 after structural relaxation (PBE).

Results
DOS at the Fermi energy = 11.30 states/eV per cell
E = -4.206 eV/atom

```
Li5Pm3Cl12
1.0
13.249 0.000 0.000
-4.416 12.491 0.000
-4.416 -6.246 10.818
Pm Li Cl
12 20 48
direct
0.750 0.375 0.125
0.875 0.750 0.125
0.375 0.750 0.625
0.250 0.125 0.375
0.875 0.125 0.250
0.375 0.625 0.250
0.625 0.375 0.750
0.125 0.875 0.750
0.750 0.875 0.625
0.625 0.250 0.375
0.125 0.250 0.875
0.250 0.625 0.875
0.125 0.375 0.250
0.000 0.500 0.000
0.000 0.000 0.000
0.375 0.250 0.125
0.500 0.000 0.500
0.500 0.500 0.000
0.125 0.750 0.375
0.750 0.125 0.875
0.750 0.625 0.375
0.375 0.125 0.750
0.625 0.875 0.250
0.500 0.500 0.500
0.500 0.000 0.000
0.000 0.000 0.500
0.250 0.375 0.625
0.250 0.875 0.125
0.000 0.500 0.500
0.875 0.250 0.625
0.625 0.750 0.875
0.875 0.625 0.750
0.714 0.123 0.032
0.319 0.532 0.409
0.968 0.377 0.286
0.532 0.214 0.123
0.591 0.714 0.681
0.968 0.591 0.181
0.319 0.786 0.409
0.091 0.909 0.123
0.591 0.968 0.681
0.714 0.591 0.181
0.786 0.468 0.377
0.819 0.909 0.032
0.123 0.714 0.532
0.377 0.409 0.091
0.091 0.909 0.377
0.409 0.123 0.591
0.091 0.181 0.214
0.468 0.681 0.091
0.819 0.909 0.286
0.123 0.409 0.091
0.377 0.968 0.786
0.591 0.623 0.409
0.909 0.819 0.532
0.786 0.319 0.909
0.409 0.377 0.591
0.091 0.181 0.468
0.214 0.681 0.091
0.181 0.091 0.714
0.623 0.032 0.214
0.877 0.591 0.909
0.532 0.319 0.909
0.591 0.877 0.409
0.909 0.819 0.786
0.909 0.091 0.623
0.877 0.286 0.468
0.181 0.091 0.968
0.623 0.591 0.909
0.409 0.032 0.319
0.286 0.409 0.819
0.214 0.532 0.623
0.909 0.091 0.877
0.681 0.214 0.591
0.468 0.786 0.877
0.032 0.409 0.819
0.409 0.286 0.319
0.032 0.623 0.714
0.681 0.468 0.591
0.286 0.877 0.968
```

=====

Entry from Alexandria via LeMat-Bulk: PmZrPd2 after structural relaxation (PBE).

Results
DOS at the Fermi energy = 3.67 states/eV per cell
excess energy over the best structure of this formula in the dataset = 0.035 eV/atom
formation enthalpy at 0 K = -0.627 eV/atom

```
PmZrPd2
1.0
4.664 0.000 0.000
2.332 4.039 0.000
2.332 1.346 4.738
Zr Pd Pm
1 2 1
direct
0.500 0.500 0.500
0.785 0.785 0.645
0.215 0.215 0.355
0.000 0.000 0.000
```

=====

Entry from Alexandria via LeMat-Bulk: TmU2Tc4 after structural relaxation (PBE).

Results
DOS at the Fermi energy = 8.38 states/eV per cell
formation enthalpy at 0 K = 0.043 eV/atom

```
TmU2Tc4
1.0
3.184 0.000 0.000
0.000 6.190 -1.842
0.000 1.104 6.363
Tm U Tc
1 2 4
direct
0.500 0.500 0.500
0.000 0.825 0.175
0.000 0.175 0.825
0.000 0.778 0.778
0.000 0.222 0.222
0.500 0.000 0.500
0.500 0.500 0.000
```

=====

Entry from Alexandria via LeMat-Bulk: PuSc5Sb6 after structural relaxation (PBE).

Results
DOS at the Fermi energy = 17.31 states/eV per cell
E = -6.761 eV/atom

```
PuSc5Sb6
1.0
-4.166 5.804 1.486
-3.601 -1.113 6.241
2.971 2.045 6.337
Pu Sc Sb
1 5 6
direct
0.000 0.000 0.000
0.500 0.162 0.676
0.000 0.332 0.336
0.500 0.500 0.000
0.000 0.668 0.664
0.500 0.838 0.324
0.742 0.086 0.342
0.258 0.571 0.342
0.252 0.259 0.000
0.748 0.741 0.000
0.742 0.429 0.658
0.258 0.914 0.658
```

=====

Entry from Alexandria via LeMat-Bulk: MgTiSn3 after structural relaxation (PBE).

Results
DOS at the Fermi energy = 10.56 states/eV per cell
excess energy over the best structure of this formula in the dataset = 0.653 eV/atom
formation enthalpy at 0 K = 0.858 eV/atom

```
MgTiSn3
1.0
5.267 0.000 0.000
0.000 5.267 0.000
0.000 0.000 5.267
Mg Sn Ti
1 3 1
direct
0.000 0.000 0.000
0.000 0.500 0.000
0.000 0.000 0.500
0.500 0.000 0.000
0.500 0.500 0.500
```

=====

Entry from Alexandria via LeMat-Bulk: CaPmBi2O8 after structural relaxation (PBE).

Results
DOS at the Fermi energy = 7.77 states/eV per cell
E = -6.151 eV/atom

```
CaPmBi2O8
1.0
5.526 0.000 0.000
0.000 5.526 0.000
-2.763 -2.763 5.613
Ca Pm Bi O
1 1 2 8
direct
0.750 0.250 0.500
0.000 0.000 0.000
0.500 0.500 0.000
0.250 0.750 0.500
0.803 0.841 0.195
0.391 0.354 0.195
0.596 0.647 0.696
0.100 0.049 0.696
0.951 0.404 0.304
0.353 0.900 0.304
0.159 0.609 0.805
0.646 0.197 0.805
```